PrTaAl4 after structural relaxation, computed with GGA-PBE.

Cell lengths 5.426, 5.426, 5.426 Å; angles 60.00, 60.00, 60.00 degrees
Positions (direct):
Pr 0.000 0.000 0.000
Ta 0.750 0.750 0.750
Al 0.376 0.376 0.376
Al 0.376 0.376 0.872
Al 0.376 0.872 0.376
Al 0.872 0.376 0.376

Values from the calculation:
* spin magnetization: 0.00 μB per cell
* energy of formation from the pure elements: -204 meV/atom
* crystal system: cubic
* DOS(E_F): 0.425 states/eV/atom